# 1
Compound: Dy2GaGe2Ir5
Source: the Alexandria database
Functional: PBE
Structure: relaxed

Cell and atoms, written as CIF:
```
data_Dy2GaGe2Ir5
_chemical_formula_sum 'Dy4 Ga2 Ge4 Ir10'
_cell_length_a 9.699
_cell_length_b 9.699
_cell_length_c 3.621
_cell_angle_alpha 90.00
_cell_angle_beta 90.00
_cell_angle_gamma 90.00
_space_group_name_H-M_alt 'P 4/m b m'
_space_group_IT_number 127
_space_group_name_Hall '-P 4 2ab'
loop_
_atom_site_label
_atom_site_fract_x
_atom_site_fract_y
_atom_site_fract_z
Dy1 0.174 0.326 0.000
Ga1 0.000 0.000 0.000
Ge1 0.126 0.626 0.000
Ir1 0.000 0.500 0.500
Ir2 0.064 0.795 0.500
```

***

# 2
Compound: LaDyGaGe
Source: the Alexandria database
Functional: PBE
Structure: relaxed

Cell and atoms, written as CIF:
```
data_LaDyGaGe
_chemical_formula_sum 'La4 Dy4 Ga4 Ge4'
_cell_length_a 7.341
_cell_length_b 7.341
_cell_length_c 7.341
_cell_angle_alpha 90.00
_cell_angle_beta 90.00
_cell_angle_gamma 90.00
_space_group_name_H-M_alt 'F -4 3 m'
_space_group_IT_number 216
_space_group_name_Hall 'F -4 2 3'
loop_
_atom_site_label
_atom_site_fract_x
_atom_site_fract_y
_atom_site_fract_z
La1 0.000 0.000 0.000
Dy1 0.000 0.000 0.500
Ga1 0.250 0.250 0.250
Ge1 0.250 0.250 0.750
```

***

# 3
Compound: LaDyGaGe
Source: the Alexandria database
Functional: PBE
Structure: relaxed

Cell and atoms, written as CIF:
```
data_LaDyGaGe
_chemical_formula_sum 'La2 Dy2 Ga2 Ge2'
_cell_length_a 4.090
_cell_length_b 4.441
_cell_length_c 11.228
_cell_angle_alpha 90.00
_cell_angle_beta 90.00
_cell_angle_gamma 90.00
_space_group_name_H-M_alt 'A m m 2'
_space_group_IT_number 38
loop_
_space_group_symop_operation_xyz
'x,y,z'
'-x,-y,z'
'-x,y,z'
'x,-y,z'
'x,y+1/2,z+1/2'
'-x,-y+1/2,z+1/2'
'-x,y+1/2,z+1/2'
'x,-y+1/2,z+1/2'
loop_
_atom_site_label
_atom_site_fract_x
_atom_site_fract_y
_atom_site_fract_z
La1 0.000 0.000 0.000
Dy1 0.500 0.000 0.279
Ga1 0.500 0.000 0.572
Ge1 0.000 0.000 0.721
```

***

# 4
Compound: Li2DyGaGe2
Source: the Alexandria database
Functional: PBE
Structure: relaxed

Cell and atoms, written as CIF:
```
data_Li2DyGaGe2
_chemical_formula_sum 'Li4 Dy2 Ga2 Ge4'
_cell_length_a 4.112
_cell_length_b 8.014
_cell_length_c 7.084
_cell_angle_alpha 90.00
_cell_angle_beta 90.00
_cell_angle_gamma 90.00
_space_group_name_H-M_alt 'P m c 21'
_space_group_IT_number 26
loop_
_space_group_symop_operation_xyz
'x,y,z'
'-x,-y,z+1/2'
'-x,y,z'
'x,-y,z+1/2'
loop_
_atom_site_label
_atom_site_fract_x
_atom_site_fract_y
_atom_site_fract_z
Li1 0.000 0.077 0.000
Li2 0.500 0.169 0.323
Dy1 0.500 0.434 0.944
Ga1 0.000 0.308 0.607
Ge1 0.000 0.367 0.231
Ge2 0.500 0.141 0.703
```

***

no.,Fermi-level density of states (states/eV per cell),energy relative to the elements (eV/atom),raw total energy (eV per atom)
1,7.5,-0.62,-7.199
2,7.0,-0.60,-4.891
3,6.2,-0.75,-5.043
4,1.3,-0.51,-3.961